1.
A plane-wave DFT calculation with GGA-PBE was carried out for a geometry-optimized TmGa2Fe2P structure.

Calculated values
space-group type = P4/mmm (123)
magnetic moment = 2.4 μB per cell
energy of formation from the pure elements = -2.5 eV per formula unit

Lattice parameters (Å, degrees): 4.2164 4.2164 5.4159 90.00 90.00 90.00
Fractional positions:
Tm 0.0000 0.0000 0.0000
Ga 0.5000 0.5000 0.2314
Ga 0.5000 0.5000 0.7686
Fe 0.0000 0.5000 0.5000
Fe 0.5000 0.0000 0.5000
P 0.0000 0.0000 0.5000

=====

2.
A plane-wave DFT calculation with GGA-PBE was carried out for a geometry-optimized PaGaFe2 structure.

Calculated values
space-group type = P4/mmm (123)
magnetic moment = 0.0 μB per cell
energy of formation from the pure elements = -0.9 eV per formula unit

Lattice parameters (Å, degrees): 4.1944 4.1944 3.4153 90.00 90.00 90.00
Fractional positions:
Pa 0.0000 0.0000 0.0000
Ga 0.5000 0.5000 0.0000
Fe 0.0000 0.5000 0.5000
Fe 0.5000 0.0000 0.5000

=====

3.
A plane-wave DFT calculation with GGA-PBE was carried out for a geometry-optimized PaGa4Fe structure.

Calculated values
E above lowest polymorph = 149 meV per atom
space-group type = Immm (71)
magnetic moment = 3.9 μB per cell
energy of formation from the pure elements = -1.0 eV per formula unit

Lattice parameters (Å, degrees): 8.1760 8.1760 8.1760 146.19 134.24 58.09
Fractional positions:
Pa 0.2087 0.2087 0.0000
Pa 0.7913 0.7913 0.0000
Ga 0.1235 0.3903 0.7332
Ga 0.1820 0.0000 0.1820
Ga 0.3428 0.6097 0.7332
Ga 0.3428 0.8428 0.5000
Ga 0.6572 0.1572 0.5000
Ga 0.6572 0.3903 0.2668
Ga 0.8180 0.0000 0.8180
Ga 0.8765 0.6097 0.2668
Fe 0.5000 0.2616 0.7616
Fe 0.5000 0.7384 0.2384

=====

4.
A plane-wave DFT calculation with GGA-PBE was carried out for a geometry-optimized PaGaFe2 structure.

Calculated values
space-group type = P4/mmm (123)
magnetic moment = 0.0 μB per cell
energy of formation from the pure elements = 0.0 eV per formula unit

Lattice parameters (Å, degrees): 3.0346 3.0346 6.4512 90.00 90.00 90.00
Fractional positions:
Pa 0.0000 0.0000 0.0000
Ga 0.0000 0.0000 0.5000
Fe 0.5000 0.5000 0.2925
Fe 0.5000 0.5000 0.7075

=====

5.
A plane-wave DFT calculation with GGA-PBE was carried out for a geometry-optimized Pa2Ga3Fe structure.

Calculated values
space-group type = Pmm2 (25)
magnetic moment = 0.0 μB per cell
energy of formation from the pure elements = -2.0 eV per formula unit

Lattice parameters (Å, degrees): 3.4909 4.3901 7.5153 90.00 90.00 90.00
Fractional positions:
Pa 0.0000 0.0000 0.0000
Pa 0.0000 0.5000 0.4449
Ga 0.5000 0.0000 0.6253
Ga 0.5000 0.5000 0.1344
Ga 0.5000 0.5000 0.7965
Fe 0.5000 0.0000 0.2896

=====

6.
A plane-wave DFT calculation with GGA-PBE was carried out for a geometry-optimized PaGa7Fe5 structure.

Calculated values
space-group type = Imm2 (44)
magnetic moment = 8.4 μB per cell
energy of formation from the pure elements = -3.2 eV per formula unit

Lattice parameters (Å, degrees): 6.6268 6.6268 6.6268 135.42 97.77 98.77
Fractional positions:
Pa 0.0000 0.0000 0.0000
Ga 0.2120 0.5059 0.7060
Ga 0.2401 0.7401 0.5000
Ga 0.3537 0.3537 0.0000
Ga 0.3656 0.0214 0.3443
Ga 0.6618 0.6618 0.0000
Ga 0.6771 0.0214 0.6557
Ga 0.7999 0.5059 0.2940
Fe 0.0124 0.0084 0.4957
Fe 0.0124 0.5166 0.0039
Fe 0.5127 0.0084 0.9961
Fe 0.5127 0.5166 0.5043
Fe 0.7799 0.2799 0.5000

=====

7.
A plane-wave DFT calculation with GGA-PBE was carried out for a geometry-optimized Pa2GaFe9 structure.

Calculated values
space-group type = R-3m (166)
magnetic moment = 4.2 μB per cell
energy of formation from the pure elements = 0.3 eV per formula unit

Lattice parameters (Å, degrees): 8.8548 8.8548 8.8548 31.10 31.10 31.10
Fractional positions:
Pa 0.1400 0.1400 0.1400
Pa 0.8600 0.8600 0.8600
Ga 0.0000 0.0000 0.0000
Fe 0.0799 0.5799 0.5799
Fe 0.3333 0.3333 0.3333
Fe 0.4201 0.4201 0.9201
Fe 0.4201 0.9201 0.4201
Fe 0.5000 0.5000 0.5000
Fe 0.5799 0.0799 0.5799
Fe 0.5799 0.5799 0.0799
Fe 0.6667 0.6667 0.6667
Fe 0.9201 0.4201 0.4201

=====

8.
A plane-wave DFT calculation with GGA-PBE was carried out for a geometry-optimized PaGaFe3 structure.

Calculated values
space-group type = R-3m (166)
magnetic moment = 12.9 μB per cell
energy of formation from the pure elements = 0.8 eV per formula unit

Lattice parameters (Å, degrees): 8.7796 8.7796 8.7796 38.84 38.84 38.84
Fractional positions:
Pa 0.0000 0.0000 0.0000
Pa 0.2442 0.2442 0.2442
Pa 0.7558 0.7558 0.7558
Ga 0.3989 0.3989 0.3989
Ga 0.5000 0.5000 0.5000
Ga 0.6011 0.6011 0.6011
Fe 0.0000 0.5000 0.5000
Fe 0.1382 0.7526 0.7526
Fe 0.2474 0.2474 0.8618
Fe 0.2474 0.8618 0.2474
Fe 0.5000 0.0000 0.5000
Fe 0.5000 0.5000 0.0000
Fe 0.7526 0.1382 0.7526
Fe 0.7526 0.7526 0.1382
Fe 0.8618 0.2474 0.2474